Entry 1:
Below is a relaxed structure of Li2ScPd4, with properties calculated at the PBE level.

* calculated formation energy: -0.571 eV/atom
* M_tot: 0.00 μB/f.u.
* crystal system: triclinic
* calculated volume: 15.5 Å³/atom

Cell: 5.541 6.516 6.905 Å, 113.79 96.33 102.73°
Fractional coordinates of all 14 atoms:
Li (0.000, 0.000, 0.000)
Li (0.073, 0.331, 0.441)
Li (0.581, 0.342, 0.454)
Li (0.869, 0.446, 0.139)
Sc (0.319, 0.167, 0.738)
Sc (0.663, 0.849, 0.304)
Pd (0.177, 0.585, 0.864)
Pd (0.180, 0.889, 0.300)
Pd (0.342, 0.422, 0.158)
Pd (0.437, 0.747, 0.597)
Pd (0.519, 0.030, 0.042)
Pd (0.682, 0.599, 0.875)
Pd (0.812, 0.172, 0.730)
Pd (0.938, 0.740, 0.584)

---

Entry 2:
Below is a relaxed structure of TmZnGa4, with properties calculated at the PBE level.

* calculated formation energy: -0.158 eV/atom
* M_tot: 0.00 μB/f.u.
* crystal system: cubic
* calculated volume: 19.1 Å³/atom

Cell: 5.454 5.454 5.454 Å, 60.00 60.00 60.00°
Fractional coordinates of all 6 atoms:
Tm (0.000, 0.000, 0.000)
Zn (0.250, 0.250, 0.250)
Ga (0.125, 0.625, 0.625)
Ga (0.625, 0.125, 0.625)
Ga (0.625, 0.625, 0.125)
Ga (0.625, 0.625, 0.625)